VASP calculation (PBE-GGA) on an optimized crystal structure of SrDyAgPb.

Results
E = -14.39 eV per cell
size of the total moment = 0.000 μB/atom

Lattice parameters (Å, degrees): 5.4721 5.4721 5.4721 60.00 60.00 60.00
Last column: nearest neighbours and their distance in Å.
Fractional positions:
Pb 0.7500 0.7500 0.7500  4 Sr 3.35, 4 Dy 3.35
Sr 0.0000 0.0000 0.0000  4 Pb 3.35, 4 Ag 3.35
Ag 0.2500 0.2500 0.2500  4 Dy 3.35, 4 Sr 3.35
Dy 0.5000 0.5000 0.5000  4 Ag 3.35, 4 Pb 3.35


VASP calculation (PBE-GGA) on an optimized crystal structure of ReSiBr2.

Results
offset from the most stable computed form = 165 meV per atom
size of the total moment = 0.000 μB/atom

Lattice parameters (Å, degrees): 8.0832 8.0832 8.0832 157.98 151.07 36.65
Last column: nearest neighbours and their distance in Å.
Fractional positions:
Br 0.8943 0.8943 0.0000  2 Re 2.70, 2 Si 3.00
Br 0.6057 0.6057 0.0000  2 Re 2.70, 2 Si 3.00
Re 0.7500 0.2500 0.5000  4 Si 2.54, 4 Br 2.70
Si 0.2500 0.7500 0.5000  4 Re 2.54


VASP calculation (PBE-GGA) on an optimized crystal structure of Sn4Se4I.

Results
E = -35.25 eV per cell
size of the total moment = 0.000 μB/atom

Lattice parameters (Å, degrees): 5.9059 7.5286 7.5286 81.15 66.91 66.91
Last column: nearest neighbours and their distance in Å.
Fractional positions:
Sn 0.3208 0.7766 0.5819  4 Se 2.84-2.95
Sn 0.6792 0.2234 0.4181  4 Se 2.84-2.95
Sn 0.9027 0.4181 0.7766  4 Se 2.84-2.95
Sn 0.0973 0.5819 0.2234  4 Se 2.84-2.95
Se 0.8176 0.7861 0.5788  4 Sn 2.84-2.95
Se 0.6037 0.5788 0.2139  4 Sn 2.84-2.95
Se 0.1824 0.2139 0.4212  4 Sn 2.84-2.95
Se 0.3963 0.4212 0.7861  4 Sn 2.84-2.95
I 0.0000 0.0000 0.0000  4 Sn 3.28


VASP calculation (PBE-GGA) on an optimized crystal structure of KScTa2.

Results
offset from the most stable computed form = 522 meV per atom
size of the total moment = 0.081 μB/atom

Lattice parameters (Å, degrees): 6.4269 6.4269 2.7491 81.17 81.17 123.67
Last column: nearest neighbours and their distance in Å.
Fractional positions:
K 0.5000 0.0000 0.5000  2 K 2.75, 2 Sc 3.03
Sc 0.0000 0.5000 0.5000  2 Sc 2.75, 2 K 3.03
Ta 0.0000 0.0000 0.0000  4 Ta 2.75-3.03
Ta 0.5000 0.5000 0.0000  4 Ta 2.75-3.03


VASP calculation (PBE-GGA) on an optimized crystal structure of Er6CdPd5.

Results
E = -63.89 eV per cell
size of the total moment = 0.000 μB/atom

Lattice parameters (Å, degrees): 4.9619 7.0665 7.8388 90.00 108.61 90.00
Last column: nearest neighbours and their distance in Å.
Fractional positions:
Cd 0.0000 0.0000 0.0000  8 Er 3.09-3.11, 4 Pd 3.43-3.44
Pd 0.6657 0.5000 0.3341  8 Er 2.97-3.03
Pd 0.3408 0.0000 0.6803  8 Er 3.01-3.09
Pd 0.0000 0.5000 0.0000  8 Er 3.00-3.08
Pd 0.6592 0.0000 0.3197  8 Er 3.01-3.09
Pd 0.3343 0.5000 0.6659  8 Er 2.97-3.03
Er 0.8295 0.7464 0.6581  7 Pd 2.97-3.09, 1 Cd 3.11
Er 0.8295 0.2536 0.6582  7 Pd 2.97-3.09, 1 Cd 3.11
Er 0.5000 0.2614 0.0000  6 Pd 3.00-3.01, 2 Cd 3.09
Er 0.5000 0.7386 0.0000  6 Pd 3.00-3.01, 2 Cd 3.09
Er 0.1705 0.7464 0.3418  7 Pd 2.97-3.09, 1 Cd 3.11
Er 0.1705 0.2536 0.3419  7 Pd 2.97-3.09, 1 Cd 3.11


VASP calculation (PBE-GGA) on an optimized crystal structure of CaHI2.

Results
E = -26.28 eV per cell
size of the total moment = 0.000 μB/atom

Lattice parameters (Å, degrees): 7.7118 4.5641 8.1035 90.00 108.80 90.00
Last column: nearest neighbours and their distance in Å.
Fractional positions:
Ca 0.3527 0.0000 0.4064  6 I 3.13-3.20
Ca 0.9946 0.5000 0.8872  2 H 2.51-2.53
H 0.6544 0.5000 0.8455  1 H 0.76
H 0.6939 0.5000 0.9445  1 H 0.76
I 0.2484 0.5000 0.6254  1 H 3.06, 3 Ca 3.15-3.32
I 0.4127 0.5000 0.1627  3 Ca 3.15-3.28, 1 H 3.21
I 0.7825 0.0000 0.6166  3 Ca 3.20-3.22, 2 H 3.29
I 0.9533 0.0000 0.1452  2 H 3.12, 3 Ca 3.13-3.18


VASP calculation (PBE-GGA) on an optimized crystal structure of Ac8Sn2Ge.

Results
E = -49.33 eV per cell
size of the total moment = 0.000 μB/atom

Lattice parameters (Å, degrees): 5.4782 7.5507 10.9302 102.36 104.51 90.00
Last column: nearest neighbours and their distance in Å.
Fractional positions:
Ac 0.4089 0.5406 0.8178  1 Ge 3.58, 2 Sn 3.80, 3 Ac 3.82-3.97
Ac 0.6542 0.9946 0.3083  1 Ge 3.27, 3 Sn 3.41-3.52
Ac 0.7852 0.6738 0.5705  3 Sn 3.46-3.62, 4 Ac 3.74-3.86
Ac 0.9775 0.2203 0.9549  2 Ge 3.29, 1 Sn 3.46, 1 Ac 3.66
Ac 0.2148 0.3262 0.4295  3 Sn 3.46-3.62, 4 Ac 3.74-3.86
Ac 0.3458 0.0054 0.6917  1 Ge 3.27, 3 Sn 3.41-3.52
Ac 0.5911 0.4594 0.1822  1 Ge 3.58, 2 Sn 3.80, 3 Ac 3.82-3.97
Ac 0.0225 0.7797 0.0451  2 Ge 3.29, 1 Sn 3.46, 1 Ac 3.66
Sn 0.8161 0.2430 0.6322  9 Ac 3.41-3.80
Sn 0.1839 0.7570 0.3678  9 Ac 3.41-3.80
Ge 0.5000 0.0000 0.0000  8 Ac 3.27-3.58


VASP calculation (PBE-GGA) on an optimized crystal structure of PrAsPd2Pt2.

Results
E = -30.05 eV per cell
size of the total moment = 0.000 μB/atom

Lattice parameters (Å, degrees): 4.2445 4.2445 9.0298 103.59 103.59 90.00
Last column: nearest neighbours and their distance in Å.
Fractional positions:
Pr 0.5000 0.5000 0.0000  2 Pt 2.75, 4 As 3.00
As 0.0000 0.0000 0.0000  4 Pr 3.00
Pd 0.2500 0.7500 0.5000  4 Pt 2.61
Pd 0.7500 0.2500 0.5000  4 Pt 2.61
Pt 0.3388 0.3388 0.6776  4 Pd 2.61, 1 Pr 2.75
Pt 0.6612 0.6612 0.3224  4 Pd 2.61, 1 Pr 2.75